Compound: CdRuRh2
Source: Alexandria
Functional: GGA-PBE
Structure: relaxed

Calculated formation energy (kcal/mol of atoms): 2.1
Fermi-level density of states (states/eV per atom): 1.171

The structure in CIF format:
```
data_CdRuRh2
_chemical_formula_sum 'Cd1 Ru1 Rh2'
_space_group_name_H-M_alt 'P m m m'
_space_group_IT_number 47
_cell_length_a 2.805
_cell_length_b 3.773
_cell_length_c 5.849
_cell_angle_alpha 90.00
_cell_angle_beta 90.00
_cell_angle_gamma 90.00
loop_
_space_group_symop_operation_xyz
'x,y,z'
'-x,-y,-z'
'-x,-y,z'
'x,y,-z'
'x,-y,-z'
'-x,y,z'
'-x,y,-z'
'x,-y,z'
loop_
_atom_site_label
_atom_site_type_symbol
_atom_site_fract_x
_atom_site_fract_y
_atom_site_fract_z
Cd1 Cd 0.000 0.000 0.000
Ru1 Ru 0.000 0.000 0.500
Rh1 Rh 0.500 0.500 0.275
```


Compound: KCoNi2Bi
Source: Alexandria
Functional: GGA-PBE
Structure: relaxed

Calculated formation energy (kcal/mol of atoms): 49.3
Fermi-level density of states (states/eV per atom): 1.741

The structure in CIF format:
```
data_KCoNi2Bi
_chemical_formula_sum 'K1 Co1 Ni2 Bi1'
_space_group_name_H-M_alt 'P 4/m m m'
_space_group_IT_number 123
_space_group_name_Hall '-P 4 2'
_cell_length_a 4.427
_cell_length_b 4.427
_cell_length_c 5.947
_cell_angle_alpha 90.00
_cell_angle_beta 90.00
_cell_angle_gamma 90.00
loop_
_atom_site_label
_atom_site_type_symbol
_atom_site_fract_x
_atom_site_fract_y
_atom_site_fract_z
K1 K 0.000 0.000 0.000
Co1 Co 0.500 0.500 0.500
Ni1 Ni 0.000 0.500 0.000
Bi1 Bi 0.000 0.000 0.500
```


Please write out number 1 again, unchanged.
Compound: CdRuRh2
Source: Alexandria
Functional: GGA-PBE
Structure: relaxed

Calculated formation energy (kcal/mol of atoms): 2.1
Fermi-level density of states (states/eV per atom): 1.171

The structure in CIF format:
```
data_CdRuRh2
_chemical_formula_sum 'Cd1 Ru1 Rh2'
_space_group_name_H-M_alt 'P m m m'
_space_group_IT_number 47
_cell_length_a 2.805
_cell_length_b 3.773
_cell_length_c 5.849
_cell_angle_alpha 90.00
_cell_angle_beta 90.00
_cell_angle_gamma 90.00
loop_
_space_group_symop_operation_xyz
'x,y,z'
'-x,-y,-z'
'-x,-y,z'
'x,y,-z'
'x,-y,-z'
'-x,y,z'
'-x,y,-z'
'x,-y,z'
loop_
_atom_site_label
_atom_site_type_symbol
_atom_site_fract_x
_atom_site_fract_y
_atom_site_fract_z
Cd1 Cd 0.000 0.000 0.000
Ru1 Ru 0.000 0.000 0.500
Rh1 Rh 0.500 0.500 0.275
```